Run a
DFT (PBE) results for crystalline CuTcIN2 at its relaxed geometry.

Cell: 3.9010 3.9010 5.6393 Å, 90.00 90.00 90.00°
Last column: nearest neighbours and their distance in Å.
Fractional coordinates of all 5 atoms:
Cu 0.0000 0.0000 0.0000  4 N 1.95
Tc 0.5000 0.5000 0.5000  4 I 2.76
I 0.0000 0.0000 0.5000  4 Tc 2.76, 2 Cu 2.82
N 0.0000 0.5000 0.0000  2 Cu 1.95
N 0.5000 0.0000 0.0000  2 Cu 1.95

## Properties
Its space group is No. 123. As for the density of states at the Fermi level: 0.78 states/eV per atom.


Run b
DFT (PBE) results for crystalline CuTcIN2 at its relaxed geometry.

Cell: 3.8358 3.8358 5.9175 Å, 90.00 90.00 90.00°
Last column: nearest neighbours and their distance in Å.
Fractional coordinates of all 5 atoms:
Cu 0.0000 0.0000 0.0000  4 I 2.71
Tc 0.5000 0.5000 0.5000  4 N 1.92
I 0.5000 0.5000 0.0000  4 Cu 2.71, 2 Tc 2.96
N 0.0000 0.5000 0.5000  2 Tc 1.92
N 0.5000 0.0000 0.5000  2 Tc 1.92

## Properties
Its space group is No. 123. As for the density of states at the Fermi level: 0.58 states/eV per atom.


Question: which arrangement is favored energetically? Ranking from most to least stable: run b, run a.


Run a
DFT (PBE) results for crystalline CuTeI2N at its relaxed geometry.

Cell: 5.7789 5.7789 3.6984 Å, 90.00 90.00 90.00°
Last column: nearest neighbours and their distance in Å.
Fractional coordinates of all 5 atoms:
Cu 0.0000 0.0000 0.0000  2 N 1.85
Te 0.5000 0.5000 0.5000  8 I 3.43, 2 Te 3.70
I 0.0000 0.5000 0.0000  2 Cu 2.89
I 0.5000 0.0000 0.0000  2 Cu 2.89
N 0.0000 0.0000 0.5000  2 Cu 1.85

## Properties
Its space group is No. 123. As for the density of states at the Fermi level: 0.51 states/eV per atom.


Run b
DFT (PBE) results for crystalline CuTeI2N at its relaxed geometry.

Cell: 4.9342 4.9342 4.8251 Å, 90.00 90.00 90.00°
Last column: nearest neighbours and their distance in Å.
Fractional coordinates of all 5 atoms:
Cu 0.0000 0.0000 0.0000  8 I 3.45, 4 Te 3.49
Te 0.5000 0.5000 0.0000  2 N 2.41
I 0.0000 0.5000 0.5000  2 N 2.47
I 0.5000 0.0000 0.5000  2 N 2.47
N 0.5000 0.5000 0.5000  2 Te 2.41, 4 I 2.47

## Properties
Its space group is No. 123. As for the density of states at the Fermi level: 0.29 states/eV per atom.


Question: which arrangement is favored energetically? Ranking from most to least stable: run a, run b.